# PrHo3Rh4, optimized geometry, DFT PBE
data_PrHo3Rh4
_symmetry_space_group_name_H-M 'P 1'
_symmetry_Int_Tables_number 1
_cell_length_a 4.870
_cell_length_b 4.870
_cell_length_c 8.491
_cell_angle_alpha 73.33
_cell_angle_beta 73.33
_cell_angle_gamma 60.00
loop_
_symmetry_equiv_pos_as_xyz
'x,y,z'
loop_
_atom_site_label
_atom_site_fract_x
_atom_site_fract_y
_atom_site_fract_z
Pr1 0.000 0.000 0.000
Rh1 0.873 0.873 0.382
Rh2 0.378 0.378 0.866
Rh3 0.127 0.127 0.618
Rh4 0.622 0.622 0.134
Ho1 0.248 0.248 0.256
Ho2 0.752 0.752 0.744
Ho3 0.500 0.500 0.500
# **Fermi-level density of states**: 4.0 states/eV/f.u.
# **Symmetry**: No. 166
# **Volume**: 165 Å³ per cell
# **Density**: 10.6 g cm⁻³
# **DFT total energy**: -54.5 eV per cell
# **Energy of formation**: -0.817 eV/atom

# PrHo4Rh5, optimized geometry, DFT PBE
data_PrHo4Rh5
_symmetry_space_group_name_H-M 'P 1'
_symmetry_Int_Tables_number 1
_cell_length_a 3.402
_cell_length_b 3.402
_cell_length_c 17.611
_cell_angle_alpha 90.00
_cell_angle_beta 90.00
_cell_angle_gamma 90.00
loop_
_symmetry_equiv_pos_as_xyz
'x,y,z'
loop_
_atom_site_label
_atom_site_fract_x
_atom_site_fract_y
_atom_site_fract_z
Pr1 0.000 0.000 0.000
Ho1 0.000 0.000 0.206
Ho2 0.000 0.000 0.402
Ho3 0.000 0.000 0.598
Ho4 0.000 0.000 0.794
Rh1 0.500 0.500 0.111
Rh2 0.500 0.500 0.305
Rh3 0.500 0.500 0.500
Rh4 0.500 0.500 0.695
Rh5 0.500 0.500 0.889
# **Fermi-level density of states**: 5.8 states/eV/f.u.
# **Symmetry**: No. 123
# **Volume**: 204 Å³ per cell
# **Density**: 10.7 g cm⁻³
# **DFT total energy**: -68.1 eV per cell
# **Energy of formation**: -0.830 eV/atom

# Pr2Ho3Rh2, optimized geometry, DFT PBE
data_Pr2Ho3Rh2
_symmetry_space_group_name_H-M 'P 1'
_symmetry_Int_Tables_number 1
_cell_length_a 3.783
_cell_length_b 6.444
_cell_length_c 9.084
_cell_angle_alpha 115.51
_cell_angle_beta 90.00
_cell_angle_gamma 107.07
loop_
_symmetry_equiv_pos_as_xyz
'x,y,z'
loop_
_atom_site_label
_atom_site_fract_x
_atom_site_fract_y
_atom_site_fract_z
Pr1 0.836 0.673 0.194
Pr2 0.164 0.327 0.806
Ho1 0.500 0.000 0.000
Ho2 0.618 0.236 0.430
Ho3 0.382 0.764 0.570
Rh1 0.830 0.660 0.757
Rh2 0.170 0.340 0.243
# **Fermi-level density of states**: 7.2 states/eV/f.u.
# **Symmetry**: No. 12
# **Volume**: 189 Å³ per cell
# **Density**: 8.6 g cm⁻³
# **DFT total energy**: -41.9 eV per cell
# **Energy of formation**: -0.551 eV/atom